TbLu2Th (PBE, optimized geometry); excess energy over the best structure of this formula in the dataset = 0.023 eV per atom; SG = P4/mmm (123); calculated total energy = -20.916 eV per cell; formation energy from the elements = 0.044 eV/atom; M_tot = 0.020 μB per formula unit; calculated volume = 30.674 Å³ per atom; Fermi-level density of states = 5.92 states/eV/f.u.
1.0
4.9016 0.0000 0.0000
0.0000 5.0031 0.0000
0.0000 0.0000 5.0031
Lu Th Tb
2 1 1
Direct
0.0000 0.5000 0.0000
0.0000 0.0000 0.5000
0.5000 0.0000 0.0000
0.5000 0.5000 0.5000


Pr3CdFe (PBE, optimized geometry); SG = Pm-3m (221); calculated total energy = -23.397 eV per cell; formation energy from the elements = 0.064 eV/atom; M_tot = 0.228 μB per formula unit; calculated volume = 29.901 Å³ per atom; Fermi-level density of states = 7.08 states/eV/f.u.
1.0
5.3075 0.0000 0.0000
0.0000 5.3075 0.0000
0.0000 0.0000 5.3075
Pr Fe Cd
3 1 1
Direct
0.0000 0.5000 0.0000
0.0000 0.0000 0.5000
0.5000 0.0000 0.0000
0.0000 0.0000 0.0000
0.5000 0.5000 0.5000


SmPuIr2 (PBE, optimized geometry); SG = P4/mmm (123); calculated total energy = -38.753 eV per cell; formation energy from the elements = -0.495 eV/atom; M_tot = 4.358 μB per formula unit; calculated volume = 20.889 Å³ per atom; Fermi-level density of states = 9.38 states/eV/f.u.
1.0
-2.9225 1.2394 1.3326
-1.5591 -3.0055 -0.6238
1.9223 -2.3200 6.3732
Ir Pu Sm
2 1 1
Direct
0.0000 0.0000 0.2680
0.0000 0.0000 0.7320
0.5000 0.5000 0.5000
0.5000 0.5000 0.0000


Dy2Cu3Ge4Pd (PBE, optimized geometry); SG = P-4m2 (115); calculated total energy = -50.545 eV per cell; formation energy from the elements = -0.539 eV/atom; M_tot = 0.000 μB per formula unit; calculated volume = 17.502 Å³ per atom; Fermi-level density of states = 4.46 states/eV/f.u.
1.0
4.1377 0.0000 0.0000
0.0000 4.1377 0.0000
0.0000 0.0000 10.2231
Cu Pd Ge Dy
3 1 4 2
Direct
0.5000 0.0000 0.8675
0.0000 0.5000 0.1325
0.0000 0.0000 0.5000
0.5000 0.5000 0.5000
0.0000 0.0000 0.0000
0.5000 0.0000 0.6375
0.0000 0.5000 0.3625
0.5000 0.5000 0.0000
0.5000 0.0000 0.2504
0.0000 0.5000 0.7496


YInSe3 (PBE, optimized geometry); excess energy over the best structure of this formula in the dataset = 0.356 eV per atom; SG = P2_1/m (11); calculated total energy = -47.683 eV per cell; M_tot = 0.000 μB per formula unit; calculated volume = 28.169 Å³ per atom; Fermi-level density of states = 1.80 states/eV/f.u.
1.0
-3.7493 -3.7837 0.1037
0.6264 -0.8267 -7.5185
6.7351 -3.0093 0.8920
Se In Y
6 2 2
Direct
0.7537 0.9983 0.0016
0.2893 0.7500 0.5556
0.7107 0.2500 0.4444
0.2463 0.4983 0.9984
0.7537 0.5017 0.0016
0.2463 0.0017 0.9984
0.5496 0.7500 0.2768
0.4504 0.2500 0.7232
0.1212 0.2500 0.2542
0.8788 0.7500 0.7458


LiOs2Pb (PBE, optimized geometry); SG = I-42d (122); calculated total energy = -50.536 eV per cell; formation energy from the elements = 0.703 eV/atom; M_tot = 0.000 μB per formula unit; calculated volume = 18.594 Å³ per atom; Fermi-level density of states = 1.36 states/eV/f.u.
1.0
-0.1886 -3.8663 -0.9818
3.9268 -0.0070 -0.7267
3.5083 -4.2717 8.0261
Pb Li Os
2 2 4
Direct
0.7500 0.2500 0.5000
0.0000 0.0000 0.0000
0.5000 0.5000 0.0000
0.2500 0.7500 0.5000
0.2143 0.6250 0.2500
0.8750 0.7857 0.7500
0.3750 0.4643 0.7500
0.5357 0.1250 0.2500


YTmAlAg (PBE, optimized geometry); excess energy over the best structure of this formula in the dataset = 0.000 eV per atom; SG = P4mm (99); calculated total energy = -19.033 eV per cell; formation energy from the elements = -0.376 eV/atom; M_tot = 0.000 μB per formula unit; calculated volume = 23.439 Å³ per atom; Fermi-level density of states = 2.41 states/eV/f.u.
1.0
-0.2498 3.5255 -0.1722
-0.5183 -0.2074 -3.4942
-7.3880 -0.4686 1.1236
Ag Al Tm Y
1 1 1 1
Direct
0.0000 0.0000 0.3460
0.0000 0.0000 0.8631
0.5000 0.5000 0.1101
0.5000 0.5000 0.6087


LiErAg6 (PBE, optimized geometry); excess energy over the best structure of this formula in the dataset = 0.149 eV per atom; SG = C2/m (12); calculated total energy = -23.750 eV per cell; formation energy from the elements = -0.021 eV/atom; M_tot = 0.000 μB per formula unit; calculated volume = 21.156 Å³ per atom; Fermi-level density of states = 2.84 states/eV/f.u.
1.0
-2.7871 0.8643 -4.1702
-4.9933 -0.6395 0.7506
-2.3802 6.8993 1.0413
Ag Er Li
6 1 1
Direct
0.6324 0.6324 0.0700
0.0372 0.5188 0.3076
0.3676 0.3676 0.9300
0.9628 0.4812 0.6924
0.4812 0.9628 0.6924
0.5188 0.0372 0.3076
0.0000 0.0000 0.0000
0.5000 0.5000 0.5000


Ta2TiF (PBE, optimized geometry); excess energy over the best structure of this formula in the dataset = 0.256 eV per atom; SG = I-42d (122); calculated total energy = -61.564 eV per cell; M_tot = 1.390 μB per formula unit; calculated volume = 19.957 Å³ per atom; Fermi-level density of states = 5.96 states/eV/f.u.
1.0
-2.0232 -3.9379 -2.2335
4.0674 -0.5070 -2.7907
3.6249 -6.1122 1.9882
Ti Ta F
2 4 2
Direct
0.0000 0.0000 0.0000
0.7500 0.2500 0.5000
0.8750 0.7306 0.7500
0.2694 0.6250 0.2500
0.3750 0.5194 0.7500
0.4806 0.1250 0.2500
0.2500 0.7500 0.5000
0.5000 0.5000 0.0000


Cr2RePb (PBE, optimized geometry); SG = Cm (8); calculated total energy = -32.782 eV per cell; formation energy from the elements = 0.655 eV/atom; M_tot = 0.336 μB per formula unit; calculated volume = 15.990 Å³ per atom; Fermi-level density of states = 3.30 states/eV/f.u.
1.0
-2.3546 4.0574 -1.2001
-3.9346 2.6582 0.9484
1.4885 3.2284 3.1971
Cr Pb Re
2 1 1
Direct
0.7288 0.7288 0.7989
0.0040 0.0040 0.9994
0.4976 0.4976 0.5080
0.2697 0.2697 0.1937


Pa2ZnRh4 (PBE, optimized geometry); SG = P-1 (2); calculated total energy = -53.312 eV per cell; formation energy from the elements = -0.520 eV/atom; M_tot = 0.000 μB per formula unit; calculated volume = 20.286 Å³ per atom; Fermi-level density of states = 4.62 states/eV/f.u.
1.0
4.3393 0.5214 -2.1145
0.3176 4.5226 -1.7999
-1.7989 -1.2972 8.5708
Rh Pa Zn
4 2 1
Direct
0.8432 0.9345 0.6297
0.0000 0.5000 0.0000
0.1568 0.0655 0.3703
0.5000 0.0000 0.0000
0.2489 0.3644 0.7245
0.7511 0.6356 0.2755
0.0000 0.0000 0.0000


LiZn2Au (PBE, optimized geometry); excess energy over the best structure of this formula in the dataset = 0.044 eV per atom; SG = P4/mmm (123); calculated total energy = -9.009 eV per cell; formation energy from the elements = -0.318 eV/atom; M_tot = 0.000 μB per formula unit; calculated volume = 15.053 Å³ per atom; Fermi-level density of states = 1.36 states/eV/f.u.
1.0
3.8367 0.0000 0.0000
0.0000 3.8360 0.0000
0.0000 0.0000 4.0910
Au Li Zn
1 1 2
Direct
0.5000 0.0000 0.5000
0.0000 0.5000 0.5000
0.5000 0.5000 0.0000
0.0000 0.0000 0.0000